The following is a DFT calculation (GGA-PBE) of ScOsNO2 after structural relaxation.

POSCAR file:
```
ScOsNO2
1.0
-3.616 -1.464 -0.451
0.549 -0.157 -3.886
1.553 -3.951 0.379
Sc Os O N
1 1 2 1
Direct
0.000 0.000 0.000
0.500 0.500 0.500
0.000 0.500 0.000
0.500 0.000 0.000
0.000 0.000 0.500
```

Calculated values
Formation energy (no corrections) = 0.233 eV/atom
VASP energy = -6.93 eV per atom